Computed, not measured: a relaxed ScCr2P crystal at the GGA-PBE level of DFT.

Properties
formation energy from the elements	10	kJ/mol of atoms

Cell: 3.276 4.568 7.607 Å, 90.00 90.00 90.00°
Space group Cmmm (No. 65)
Inequivalent atoms, fractional coordinates:
Sc 0.000 0.000 0.000 x2
Cr 0.000 0.500 0.296 x4
P 0.000 0.000 0.500 x2

Computed, not measured: a relaxed ScCr3P crystal at the GGA-PBE level of DFT.

Properties
formation energy from the elements	181	kJ/mol of atoms

Cell: 4.623 4.623 4.623 Å, 90.00 90.00 90.00°
Space group Pm-3m (No. 221)
Inequivalent atoms, fractional coordinates:
Sc 0.000 0.000 0.000 x1
Cr 0.000 0.000 0.500 x3
P 0.500 0.500 0.500 x1

Computed, not measured: a relaxed SrScCrP2 crystal at the GGA-PBE level of DFT.

Properties
formation energy from the elements	59	kJ/mol of atoms

Cell: 4.957 4.957 5.839 Å, 90.00 90.00 90.00°
Space group P4/mmm (No. 123)
Inequivalent atoms, fractional coordinates:
Sr 0.000 0.000 0.000 x1
Sc 0.000 0.000 0.500 x1
Cr 0.500 0.500 0.000 x1
P 0.000 0.500 0.500 x2

Computed, not measured: a relaxed ScV2CrP crystal at the GGA-PBE level of DFT.

Properties
formation energy from the elements	49	kJ/mol of atoms

Cell: 4.302 4.302 4.732 Å, 90.00 90.00 90.00°
Space group P4/mmm (No. 123)
Inequivalent atoms, fractional coordinates:
Sc 0.000 0.000 0.000 x1
V 0.000 0.500 0.500 x2
Cr 0.500 0.500 0.000 x1
P 0.000 0.000 0.500 x1

Computed, not measured: a relaxed CrPSe crystal at the GGA-PBE level of DFT.

Properties
uncorrected energy	-6.40	eV per atom

Cell: 7.969 3.095 9.236 Å, 90.00 109.26 90.00°
Space group Cm (No. 8)
Inequivalent atoms, fractional coordinates:
Cr 0.000 0.000 0.000 x2
Cr 0.124 0.500 0.775 x2
P 0.280 0.000 0.982 x2
P 0.389 0.500 0.732 x2
Se 0.012 0.000 0.546 x2
Se 0.093 0.500 0.210 x2

Computed, not measured: a relaxed CrPSe crystal at the GGA-PBE level of DFT.

Properties
uncorrected energy	-6.39	eV per atom

Cell: 3.094 6.082 7.726 Å, 68.53 78.63 75.28°
Space group P1 (No. 1)
Inequivalent atoms, fractional coordinates:
Cr 0.000 0.000 0.000 x1
Cr 0.298 0.341 0.063 x1
P 0.226 0.744 0.800 x1
P 0.651 0.669 0.029 x1
Se 0.486 0.245 0.779 x1
Se 0.813 0.090 0.287 x1

Computed, not measured: a relaxed CrPSe crystal at the GGA-PBE level of DFT.

Properties
uncorrected energy	-5.65	eV per atom

Cell: 6.012 6.012 6.012 Å, 90.00 90.00 90.00°
Space group F-43m (No. 216)
Inequivalent atoms, fractional coordinates:
Cr 0.000 0.000 0.000 x4
P 0.250 0.250 0.750 x4
Se 0.000 0.000 0.500 x4

Computed, not measured: a relaxed CrPSe crystal at the GGA-PBE level of DFT.

Properties
uncorrected energy	-6.47	eV per atom

Cell: 8.300 3.152 6.993 Å, 90.00 99.01 90.00°
Space group C2/m (No. 12)
Inequivalent atoms, fractional coordinates:
Cr 0.180 0.000 0.237 x4
P 0.133 0.500 0.468 x4
Se 0.121 0.000 0.865 x4

Computed, not measured: a relaxed CrPSe crystal at the GGA-PBE level of DFT.

Properties
uncorrected energy	-6.36	eV per atom

Cell: 3.3029 3.3029 5.5563 Å, 90.00 90.00 120.00°
Space group P3m1 (No. 156)
Inequivalent atoms, fractional coordinates:
Cr 0.0000 0.0000 0.0000 x1
P 0.6667 0.3333 0.7674 x1
Se 0.6667 0.3333 0.2739 x1

Computed, not measured: a relaxed CrPSe2 crystal at the GGA-PBE level of DFT.

Properties
uncorrected energy	-5.35	eV per atom

Cell: 6.612 3.839 6.517 Å, 90.00 109.86 90.00°
Space group C2/m (No. 12)
Inequivalent atoms, fractional coordinates:
Cr 0.000 0.000 0.000 x2
P 0.000 0.500 0.500 x2
Se 0.248 0.500 0.246 x4

Computed, not measured: a relaxed CrPSe crystal at the GGA-PBE level of DFT.

Properties
uncorrected energy	-6.38	eV per atom

Cell: 12.720 3.068 5.948 Å, 90.00 114.45 90.00°
Space group Cm (No. 8)
Inequivalent atoms, fractional coordinates:
Cr 0.000 0.000 0.000 x2
Cr 0.016 0.500 0.388 x2
P 0.366 0.000 0.002 x2
P 0.438 0.500 0.576 x2
Se 0.115 0.500 0.858 x2
Se 0.162 0.000 0.396 x2

Computed, not measured: a relaxed CrPSe5 crystal at the GGA-PBE level of DFT.

Properties
uncorrected energy	-4.76	eV per atom

Cell: 10.250 3.483 10.481 Å, 90.00 116.96 90.00°
Space group P2_1/m (No. 11)
Inequivalent atoms, fractional coordinates:
Cr 0.121 0.250 0.093 x2
P 0.459 0.750 0.315 x2
Se 0.002 0.250 0.837 x2
Se 0.161 0.750 0.544 x2
Se 0.292 0.750 0.074 x2
Se 0.313 0.250 0.361 x2
Se 0.380 0.750 0.746 x2

Computed, not measured: a relaxed CrPSe2 crystal at the GGA-PBE level of DFT.

Properties
uncorrected energy	-5.26	eV per atom

Cell: 3.542 3.542 15.251 Å, 90.00 90.00 90.00°
Space group I-4m2 (No. 119)
Inequivalent atoms, fractional coordinates:
Cr 0.000 0.000 0.000 x2
P 0.000 0.500 0.750 x2
Se 0.000 0.000 0.500 x2
Se 0.000 0.500 0.250 x2

Computed, not measured: a relaxed CrPSe crystal at the GGA-PBE level of DFT.

Properties
uncorrected energy	-6.08	eV per atom

Cell: 3.656 4.427 13.142 Å, 90.00 90.00 90.00°
Space group Fmm2 (No. 42)
Inequivalent atoms, fractional coordinates:
Cr 0.000 0.000 0.000 x4
P 0.000 0.000 0.613 x4
Se 0.000 0.000 0.363 x4

Computed, not measured: a relaxed CrPSe2 crystal at the GGA-PBE level of DFT.

Properties
uncorrected energy	-5.29	eV per atom

Cell: 3.1292 3.1292 24.3388 Å, 90.00 90.00 120.00°
Space group R-3m (No. 166, hexagonal axes)
Inequivalent atoms, fractional coordinates:
Cr 0.0000 0.0000 0.0000 x3
P 0.0000 0.0000 0.5000 x3
Se 0.0000 0.0000 0.2660 x6

Computed, not measured: a relaxed CrPSe2 crystal at the GGA-PBE level of DFT.

Properties
uncorrected energy	-5.34	eV per atom

Cell: 3.625 4.235 10.589 Å, 90.00 90.00 90.00°
Space group Cmm2 (No. 35)
Inequivalent atoms, fractional coordinates:
Cr 0.000 0.000 0.000 x2
P 0.000 0.500 0.146 x2
Se 0.000 0.000 0.487 x2
Se 0.000 0.500 0.827 x2

Computed, not measured: a relaxed CrPSe crystal at the GGA-PBE level of DFT.

Properties
uncorrected energy	-6.42	eV per atom

Cell: 13.833 3.093 6.035 Å, 90.00 115.69 90.00°
Space group C2/m (No. 12)
Inequivalent atoms, fractional coordinates:
Cr 0.223 0.000 0.282 x4
P 0.179 0.500 0.963 x4
Se 0.108 0.500 0.358 x4

Computed, not measured: a relaxed CrPSe crystal at the GGA-PBE level of DFT.

Properties
uncorrected energy	-6.34	eV per atom

Cell: 11.488 3.081 7.510 Å, 90.00 130.79 90.00°
Space group Cm (No. 8)
Inequivalent atoms, fractional coordinates:
Cr 0.000 0.000 0.000 x2
Cr 0.210 0.000 0.551 x2
P 0.019 0.500 0.249 x2
P 0.243 0.500 0.811 x2
Se 0.191 0.500 0.073 x2
Se 0.389 0.500 0.594 x2

Computed, not measured: a relaxed CrPSe crystal at the GGA-PBE level of DFT.

Properties
uncorrected energy	-6.33	eV per atom

Cell: 13.879 3.162 5.387 Å, 90.00 97.83 90.00°
Space group Cm (No. 8)
Inequivalent atoms, fractional coordinates:
Cr 0.000 0.000 0.000 x2
Cr 0.011 0.500 0.496 x2
P 0.126 0.000 0.737 x2
P 0.127 0.000 0.341 x2
Se 0.388 0.000 0.126 x2
Se 0.390 0.500 0.618 x2

Computed, not measured: a relaxed CrPSe2 crystal at the GGA-PBE level of DFT.

Properties
uncorrected energy	-5.46	eV per atom

Cell: 3.207 3.207 7.491 Å, 90.00 90.00 90.00°
Space group P4mm (No. 99)
Inequivalent atoms, fractional coordinates:
Cr 0.000 0.000 0.000 x1
P 0.500 0.500 0.120 x1
Se 0.000 0.000 0.337 x1
Se 0.500 0.500 0.792 x1

Computed, not measured: a relaxed CrPSe2 crystal at the GGA-PBE level of DFT.

Properties
uncorrected energy	-5.12	eV per atom

Cell: 4.643 4.643 3.270 Å, 90.00 90.00 90.00°
Space group P4/mmm (No. 123)
Inequivalent atoms, fractional coordinates:
Cr 0.000 0.000 0.000 x1
P 0.500 0.500 0.000 x1
Se 0.000 0.500 0.500 x2

Computed, not measured: a relaxed CrPSe4 crystal at the GGA-PBE level of DFT.

Properties
uncorrected energy	-4.95	eV per atom

Cell: 7.066 15.955 5.967 Å, 90.00 124.93 90.00°
Space group C2/c (No. 15)
Inequivalent atoms, fractional coordinates:
Cr 0.000 0.177 0.250 x4
P 0.000 0.346 0.750 x4
Se 0.237 0.067 0.236 x8
Se 0.246 0.289 0.258 x8

Computed, not measured: a relaxed CrPSe2 crystal at the GGA-PBE level of DFT.

Properties
uncorrected energy	-5.65	eV per atom

Cell: 7.783 3.411 6.785 Å, 90.00 99.21 90.00°
Space group Cm (No. 8)
Inequivalent atoms, fractional coordinates:
Cr 0.000 0.000 0.000 x2
P 0.209 0.500 0.046 x2
Se 0.046 0.500 0.289 x2
Se 0.351 0.000 0.766 x2

Computed, not measured: a relaxed CrPSe crystal at the GGA-PBE level of DFT.

Properties
uncorrected energy	-6.38	eV per atom

Cell: 5.816 3.082 5.926 Å, 90.00 97.58 90.00°
Space group Pm (No. 6)
Inequivalent atoms, fractional coordinates:
Cr 0.000 0.000 0.000 x1
Cr 0.030 0.500 0.376 x1
P 0.159 0.500 0.766 x1
P 0.299 0.000 0.294 x1
Se 0.704 0.500 0.077 x1
Se 0.803 0.000 0.591 x1

Computed, not measured: a relaxed CrP3Se9 crystal at the GGA-PBE level of DFT.

Properties
uncorrected energy	-4.41	eV per atom

Cell: 17.324 8.261 12.301 Å, 90.00 128.87 90.00°
Space group Cc (No. 9)
Inequivalent atoms, fractional coordinates:
Cr 0.000 0.250 0.000 x4
P 0.139 0.092 0.832 x4
P 0.241 0.434 0.735 x4
P 0.366 0.083 0.679 x4
Se 0.008 0.092 0.828 x4
Se 0.118 0.346 0.744 x4
Se 0.153 0.115 0.222 x4
Se 0.155 0.381 0.064 x4
Se 0.239 0.275 0.575 x4
Se 0.298 0.139 0.031 x4
Se 0.373 0.485 0.443 x4
Se 0.403 0.008 0.879 x4
Se 0.496 0.188 0.702 x4

Magnetization, respectively: 0.00; 1.97; 1.13; 0.00; 0.00; 0.03; 0.99; 0.00; 0.00; 1.17; 0.00; 0.23; 0.95; 0.64; 0.15; 0.51; 0.00; 0.01; 0.28; 0.45; 0.92; 0.28; 0.25; 0.00; 0.23 μB per atom.